Material: AcMg3Pb2
Method: DFT, PBE
State: optimized geometry

Lattice parameters (Å, degrees): 18.335 4.784 8.820 90.00 117.14 90.00
Space group C2/m (No. 12)
Unique sites:
Ac 0.136 0.000 0.049 (multiplicity 4)
Mg 0.055 0.000 0.408 (multiplicity 4)
Mg 0.096 0.500 0.674 (multiplicity 4)
Mg 0.195 0.500 0.474 (multiplicity 4)
Pb 0.024 0.500 0.194 (multiplicity 4)
Pb 0.215 0.000 0.742 (multiplicity 4)

DFT formation energy   -0.238 eV per atom
Total DFT energy (no corrections)   -2.956 eV/atom